1.
A geometry-optimized Sc2B2C structure, computed with PBE-GGA.

Cell and atoms, written as POSCAR:
```
Sc2B2C
1.0
-1.960 1.552 1.643
-0.098 -1.847 4.351
5.229 4.565 4.650
Sc B C
4 4 2
Direct
0.902 0.293 0.903
0.300 0.766 0.634
0.098 0.707 0.097
0.700 0.234 0.366
0.965 0.660 0.410
0.638 0.884 0.839
0.362 0.116 0.161
0.035 0.340 0.590
0.434 0.811 0.320
0.566 0.189 0.680
```

Calculated values
spin magnetization: 0.000 μB per formula unit
DFT total energy: -75.062 eV/cell
SG: C2/m, No. 12


2.
A geometry-optimized Sc2AlRu structure, computed with PBE-GGA.

Cell and atoms, written as POSCAR:
```
Sc2AlRu
1.0
8.854 -0.013 -0.008
8.281 3.135 -0.008
8.281 1.509 2.748
Al Sc Ru
1 2 1
Direct
0.250 0.250 0.250
0.010 0.010 0.010
0.490 0.490 0.490
0.750 0.750 0.750
```

Calculated values
spin magnetization: 0.000 μB per formula unit
DFT total energy: -26.818 eV/cell
SG: R-3m, No. 166


3.
A geometry-optimized BaHgPt structure, computed with PBE-GGA.

Cell and atoms, written as POSCAR:
```
BaHgPt
1.0
4.742 0.000 0.000
-2.371 5.920 -0.981
0.000 0.493 11.943
Ba Pt Hg
4 4 4
Direct
0.593 0.186 0.161
0.101 0.202 0.646
0.407 0.814 0.839
0.899 0.798 0.354
0.407 0.815 0.552
0.593 0.185 0.448
0.708 0.415 0.837
0.292 0.585 0.163
0.801 0.603 0.624
0.199 0.397 0.376
0.138 0.275 0.950
0.862 0.725 0.050
```

Calculated values
spin magnetization: 0.000 μB per formula unit
DFT total energy: -40.311 eV/cell
SG: C2/m, No. 12


4.
A geometry-optimized BeSi2Br structure, computed with PBE-GGA.

Cell and atoms, written as POSCAR:
```
BeSi2Br
1.0
6.616 -1.021 0.871
1.098 6.603 -0.871
-1.955 -5.419 3.519
Si Br Be
2 1 1
Direct
0.090 0.090 0.000
0.284 0.784 0.500
0.644 0.144 0.500
0.482 0.482 0.000
```

Calculated values
spin magnetization: 0.000 μB per formula unit
energy relative to the elements, uncorrected: 0.550 eV/atom
SG: Imm2, No. 44


5.
A geometry-optimized CsPrCuSe2 structure, computed with PBE-GGA.

Cell and atoms, written as POSCAR:
```
CsPrCuSe2
1.0
4.799 0.000 0.000
0.000 8.526 0.595
0.000 -1.988 8.311
Cu Cs Pr Se
2 2 2 4
Direct
0.000 0.000 0.000
0.000 0.000 0.500
0.814 0.500 0.250
0.186 0.500 0.750
0.493 0.000 0.250
0.507 0.000 0.750
0.697 0.218 0.534
0.697 0.782 0.966
0.303 0.218 0.034
0.303 0.782 0.466
```

Calculated values
spin magnetization: 0.000 μB per formula unit
energy relative to the elements, uncorrected: -1.023 eV/atom
SG: P2/c, No. 13


6.
A geometry-optimized Pm2Nd6Sc structure, computed with PBE-GGA.

Cell and atoms, written as POSCAR:
```
Pm2Nd6Sc
1.0
5.401 -0.001 0.001
0.000 7.661 3.622
-0.001 1.526 8.336
Pm Nd Sc
2 6 1
Direct
0.500 0.773 0.773
0.500 0.227 0.227
0.000 0.575 0.138
0.000 0.862 0.425
0.500 0.741 0.259
0.500 0.259 0.741
0.000 0.138 0.575
0.000 0.425 0.862
0.000 0.000 0.000
```

Calculated values
spin magnetization: 0.000 μB per formula unit
DFT total energy: -42.426 eV/cell
SG: Cmmm, No. 65


7.
A geometry-optimized Sc2HRu structure, computed with PBE-GGA.

Cell and atoms, written as POSCAR:
```
Sc2HRu
1.0
-1.689 -3.940 1.169
1.027 -1.777 3.941
-3.074 -0.239 3.199
H Sc Ru
1 2 1
Direct
0.000 0.000 0.000
0.750 0.750 0.750
0.250 0.250 0.250
0.500 0.500 0.500
```

Calculated values
spin magnetization: 0.000 μB per formula unit
DFT total energy: -25.629 eV/cell
SG: Fm-3m, No. 225


8.
A geometry-optimized AcPr2In structure, computed with PBE-GGA.

Cell and atoms, written as POSCAR:
```
AcPr2In
1.0
-0.422 -3.585 -4.482
3.885 -4.185 -0.714
-1.500 -5.492 0.839
Pr Ac In
2 1 1
Direct
0.750 0.750 0.750
0.250 0.250 0.250
0.000 0.000 0.000
0.500 0.500 0.500
```

Calculated values
spin magnetization: 0.003 μB per formula unit
DFT total energy: -16.803 eV/cell
SG: Fm-3m, No. 225


9.
A geometry-optimized SmErBr6 structure, computed with PBE-GGA.

Cell and atoms, written as POSCAR:
```
SmErBr6
1.0
7.472 -0.378 -1.146
-4.245 6.161 -1.146
0.119 0.214 7.001
Er Sm Br
1 1 6
Direct
0.500 0.500 0.500
0.000 0.000 0.000
0.747 0.747 0.254
0.253 0.253 0.746
0.114 0.401 0.257
0.599 0.886 0.743
0.886 0.599 0.743
0.401 0.114 0.257
```

Calculated values
spin magnetization: 0.000 μB per formula unit
energy relative to the elements, uncorrected: -1.836 eV/atom
SG: C2/m, No. 12


10.
A geometry-optimized ErGaO3 structure, computed with PBE-GGA.

Cell and atoms, written as POSCAR:
```
ErGaO3
1.0
-1.040 -1.057 4.108
2.157 -3.774 -0.425
3.653 1.927 1.421
O Er Ga
3 1 1
Direct
0.000 0.500 0.500
0.500 0.000 0.500
0.500 0.500 0.000
0.500 0.500 0.500
0.000 0.000 0.000
```

Calculated values
spin magnetization: 2.000 μB per formula unit
energy relative to the elements, uncorrected: -1.420 eV/atom
SG: Pm-3m, No. 221


11.
A geometry-optimized TaTi2Pd5 structure, computed with PBE-GGA.

Cell and atoms, written as POSCAR:
```
TaTi2Pd5
1.0
-1.763 -2.179 -2.717
-1.366 -3.822 3.951
-9.745 5.477 1.930
Ta Pd Ti
2 10 4
Direct
0.000 0.000 0.500
0.000 0.500 0.000
0.000 0.991 0.747
0.500 0.740 0.879
0.500 0.760 0.379
0.000 0.500 0.500
0.000 0.000 0.000
0.000 0.509 0.247
0.000 0.009 0.253
0.500 0.240 0.621
0.000 0.491 0.753
0.500 0.260 0.121
0.500 0.771 0.132
0.500 0.229 0.868
0.500 0.271 0.368
0.500 0.729 0.632
```

Calculated values
spin magnetization: 0.001 μB per formula unit
DFT total energy: -115.042 eV/cell
SG: Pbam, No. 55


12.
A geometry-optimized ScV4Si3 structure, computed with PBE-GGA.

Cell and atoms, written as POSCAR:
```
ScV4Si3
1.0
-3.439 -3.389 5.386
3.389 -4.044 -4.949
4.112 0.132 2.709
V Si Sc
8 6 2
Direct
0.669 0.332 0.750
0.332 0.669 0.750
0.996 0.756 0.500
0.756 0.996 0.500
0.272 0.272 0.500
0.332 0.669 0.250
0.739 0.739 0.000
0.669 0.332 0.250
0.609 0.609 0.500
0.399 0.002 0.500
0.408 0.408 0.000
0.002 0.399 0.500
0.598 0.993 0.000
0.993 0.598 0.000
0.230 0.998 0.000
0.998 0.230 0.000
```

Calculated values
spin magnetization: 0.564 μB per formula unit
energy relative to the elements, uncorrected: -0.562 eV/atom
SG: Amm2, No. 38